No. 1
This record from the Alexandria database describes a relaxed Ca2ScNbO6 crystal. The functional is PBE.

abc: 5.7209 5.5402 9.6786
angles: 55.12 90.00 90.00
Closest atoms and distances in Å follow each position.
Positions (direct):
Ca  0.4483  0.2351  0.7517  5 O 2.34-2.62
Ca  0.5517  0.7649  0.2483  5 O 2.34-2.62
Ca  0.9483  0.7649  0.7483  5 O 2.34-2.62
Ca  0.0517  0.2351  0.2517  5 O 2.34-2.62
Sc  0.0000  0.0000  0.0000  6 O 2.12
Sc  0.5000  0.0000  0.5000  6 O 2.12
Nb  0.0000  0.5000  0.5000  6 O 2.02-2.03
Nb  0.5000  0.5000  0.0000  6 O 2.02-2.03
O  0.0353  0.3561  0.7438  1 Nb 2.02, 1 Sc 2.12
O  0.9647  0.6439  0.2562  1 Nb 2.02, 1 Sc 2.12
O  0.5353  0.6439  0.7562  1 Nb 2.02, 1 Sc 2.12
O  0.4647  0.3561  0.2438  1 Nb 2.02, 1 Sc 2.12
O  0.6969  0.8437  0.9495  1 Nb 2.02, 1 Sc 2.12
O  0.3031  0.1563  0.0505  1 Nb 2.02, 1 Sc 2.12
O  0.1969  0.1563  0.5505  1 Nb 2.02, 1 Sc 2.12
O  0.8031  0.8437  0.4495  1 Nb 2.02, 1 Sc 2.12
O  0.2094  0.7495  0.9448  1 Nb 2.03, 1 Sc 2.12
O  0.7906  0.2505  0.0552  1 Nb 2.03, 1 Sc 2.12
O  0.7094  0.2505  0.5552  1 Nb 2.03, 1 Sc 2.12
O  0.2906  0.7495  0.4448  1 Nb 2.03, 1 Sc 2.12

**SG**: P2_1/c (14)


No. 2
This record from the Alexandria database describes a relaxed Ca2NbSiO6 crystal. The functional is PBE.

abc: 4.2089 5.2928 5.2928
angles: 90.00 90.00 90.00
Closest atoms and distances in Å follow each position.
Positions (direct):
Ca  0.0723  0.5000  0.0000  8 O 2.50-2.70
Ca  0.0723  0.0000  0.5000  8 O 2.50-2.70
Nb  0.6371  0.5000  0.5000  6 O 2.03-2.15
Si  0.5928  0.0000  0.0000  5 O 1.66-1.76
O  0.6811  0.2298  0.2298  1 Si 1.76
O  0.6811  0.2298  0.7702  1 Si 1.76
O  0.1487  0.5000  0.5000  2 Nb 2.06-2.15
O  0.1992  0.0000  0.0000  1 Si 1.66
O  0.6811  0.7702  0.7702  1 Si 1.76
O  0.6811  0.7702  0.2298  1 Si 1.76

**SG**: P4mm (99)


No. 3
This record from the Alexandria database describes a relaxed CaTiNbSnO6 crystal. The functional is PBE.

abc: 5.6550 5.6550 5.6550
angles: 60.00 60.00 60.00
Closest atoms and distances in Å follow each position.
Positions (direct):
Ca  0.7500  0.7500  0.7500  12 O 2.83
Ti  0.5000  0.5000  0.5000  6 O 1.98
Nb  0.0000  0.0000  0.0000  6 O 2.02
Sn  0.2500  0.2500  0.2500  12 O 2.83
O  0.2528  0.7472  0.2528  1 Ti 1.98, 1 Nb 2.02
O  0.7472  0.2528  0.7472  1 Ti 1.98, 1 Nb 2.02
O  0.2528  0.7472  0.7472  1 Ti 1.98, 1 Nb 2.02
O  0.7472  0.2528  0.2528  1 Ti 1.98, 1 Nb 2.02
O  0.2528  0.2528  0.7472  1 Ti 1.98, 1 Nb 2.02
O  0.7472  0.7472  0.2528  1 Ti 1.98, 1 Nb 2.02

**SG**: F-43m (216)


Quick rundown of formation energy (no corrections), same order as above: -3.09, -2.70, -2.44 eV per atom